Record 1
# PBE-GGA NdDy2Th4, optimized geometry
# - total moment (μB per formula unit) = 0.0
# - formation energy from the elements (eV/atom) = 0.296
# - space-group type = P4_2/mnm
data_NdDy2Th4
_symmetry_space_group_name_H-M 'P 1'
_symmetry_Int_Tables_number 1
_cell_length_a 5.548
_cell_length_b 9.357
_cell_length_c 9.357
_cell_angle_alpha 90.00
_cell_angle_beta 90.00
_cell_angle_gamma 90.00
loop_
_symmetry_equiv_pos_as_xyz
'x,y,z'
loop_
_atom_site_label
_atom_site_type_symbol
_atom_site_fract_x
_atom_site_fract_y
_atom_site_fract_z
Nd1 Nd 0.500 0.000 0.000
Nd2 Nd 0.000 0.500 0.500
Dy1 Dy 0.000 0.185 0.815
Dy2 Dy 0.000 0.815 0.185
Dy3 Dy 0.500 0.685 0.685
Dy4 Dy 0.500 0.315 0.315
Th1 Th 0.000 0.120 0.376
Th2 Th 0.000 0.880 0.624
Th3 Th 0.500 0.124 0.620
Th4 Th 0.500 0.876 0.380
Th5 Th 0.500 0.380 0.876
Th6 Th 0.500 0.620 0.124
Th7 Th 0.000 0.376 0.120
Th8 Th 0.000 0.624 0.880

=====

Record 2
# PBE-GGA Nd2Dy5Th2, optimized geometry
# - total moment (μB per formula unit) = 0.0
# - formation energy from the elements (eV/atom) = 0.255
# - space-group type = C2/m
data_Nd2Dy5Th2
_symmetry_space_group_name_H-M 'P 1'
_symmetry_Int_Tables_number 1
_cell_length_a 3.485
_cell_length_b 8.079
_cell_length_c 12.921
_cell_angle_alpha 119.33
_cell_angle_beta 97.75
_cell_angle_gamma 90.00
loop_
_symmetry_equiv_pos_as_xyz
'x,y,z'
loop_
_atom_site_label
_atom_site_type_symbol
_atom_site_fract_x
_atom_site_fract_y
_atom_site_fract_z
Nd1 Nd 0.823 0.794 0.647
Nd2 Nd 0.177 0.206 0.353
Dy1 Dy 0.692 0.839 0.384
Dy2 Dy 0.308 0.161 0.616
Dy3 Dy 0.909 0.547 0.819
Dy4 Dy 0.091 0.453 0.181
Dy5 Dy 0.000 0.000 0.000
Th1 Th 0.552 0.750 0.104
Th2 Th 0.448 0.250 0.896

=====

Record 3
# PBE-GGA Nd6Dy3Th, optimized geometry
# - relative energy among the computed polymorphs (eV per atom) = 0.000
# - total moment (μB per formula unit) = 0.0
# - formation energy from the elements (eV/atom) = 0.083
# - space-group type = P2_1/m
data_Nd6Dy3Th
_symmetry_space_group_name_H-M 'P 1'
_symmetry_Int_Tables_number 1
_cell_length_a 3.565
_cell_length_b 13.346
_cell_length_c 14.591
_cell_angle_alpha 100.57
_cell_angle_beta 90.00
_cell_angle_gamma 90.00
loop_
_symmetry_equiv_pos_as_xyz
'x,y,z'
loop_
_atom_site_label
_atom_site_type_symbol
_atom_site_fract_x
_atom_site_fract_y
_atom_site_fract_z
Nd1 Nd 0.750 0.500 0.690
Nd2 Nd 0.250 0.500 0.310
Nd3 Nd 0.750 0.811 0.080
Nd4 Nd 0.250 0.189 0.920
Nd5 Nd 0.750 0.345 0.120
Nd6 Nd 0.250 0.655 0.880
Nd7 Nd 0.750 0.729 0.298
Nd8 Nd 0.250 0.271 0.702
Nd9 Nd 0.750 0.123 0.484
Nd10 Nd 0.250 0.877 0.516
Nd11 Nd 0.750 0.780 0.712
Nd12 Nd 0.250 0.220 0.288
Dy1 Dy 0.750 0.423 0.904
Dy2 Dy 0.250 0.577 0.096
Dy3 Dy 0.750 0.624 0.501
Dy4 Dy 0.250 0.376 0.499
Dy5 Dy 0.750 0.073 0.100
Dy6 Dy 0.250 0.927 0.900
Th1 Th 0.750 0.036 0.723
Th2 Th 0.250 0.964 0.277

=====

Record 4
# PBE-GGA Nd5Dy4Th2, optimized geometry
# - relative energy among the computed polymorphs (eV per atom) = 0.000
# - total moment (μB per formula unit) = 0.0
# - formation energy from the elements (eV/atom) = 0.124
# - space-group type = P2/m
data_Nd5Dy4Th2
_symmetry_space_group_name_H-M 'P 1'
_symmetry_Int_Tables_number 1
_cell_length_a 3.524
_cell_length_b 8.922
_cell_length_c 11.886
_cell_angle_alpha 85.61
_cell_angle_beta 90.00
_cell_angle_gamma 90.00
loop_
_symmetry_equiv_pos_as_xyz
'x,y,z'
loop_
_atom_site_label
_atom_site_type_symbol
_atom_site_fract_x
_atom_site_fract_y
_atom_site_fract_z
Nd1 Nd 0.000 0.425 0.291
Nd2 Nd 0.000 0.808 0.163
Nd3 Nd 0.000 0.500 0.000
Nd4 Nd 0.000 0.192 0.837
Nd5 Nd 0.000 0.575 0.709
Dy1 Dy 0.500 0.302 0.547
Dy2 Dy 0.500 0.840 0.891
Dy3 Dy 0.500 0.698 0.453
Dy4 Dy 0.500 0.160 0.109
Th1 Th 0.000 0.960 0.633
Th2 Th 0.000 0.040 0.367

=====

Record 5
# PBE-GGA Nd2Dy7Th, optimized geometry
# - total moment (μB per formula unit) = 0.0
# - formation energy from the elements (eV/atom) = 0.162
# - space-group type = Cmmm
data_Nd2Dy7Th
_symmetry_space_group_name_H-M 'P 1'
_symmetry_Int_Tables_number 1
_cell_length_a 3.476
_cell_length_b 14.775
_cell_length_c 14.775
_cell_angle_alpha 154.26
_cell_angle_beta 90.00
_cell_angle_gamma 90.00
loop_
_symmetry_equiv_pos_as_xyz
'x,y,z'
loop_
_atom_site_label
_atom_site_type_symbol
_atom_site_fract_x
_atom_site_fract_y
_atom_site_fract_z
Nd1 Nd 0.500 0.705 0.295
Nd2 Nd 0.500 0.295 0.705
Dy1 Dy 0.000 0.814 0.186
Dy2 Dy 0.000 0.186 0.814
Dy3 Dy 0.500 0.147 0.342
Dy4 Dy 0.500 0.853 0.658
Dy5 Dy 0.500 0.342 0.147
Dy6 Dy 0.500 0.658 0.853
Dy7 Dy 0.500 0.500 0.500
Th1 Th 0.000 0.000 0.000

=====

Record 6
# PBE-GGA Nd4Dy2Th, optimized geometry
# - relative energy among the computed polymorphs (eV per atom) = 0.254
# - total moment (μB per formula unit) = 0.0
# - formation energy from the elements (eV/atom) = 0.295
# - space-group type = Imma
data_Nd4Dy2Th
_symmetry_space_group_name_H-M 'P 1'
_symmetry_Int_Tables_number 1
_cell_length_a 6.803
_cell_length_b 9.101
_cell_length_c 9.101
_cell_angle_alpha 79.61
_cell_angle_beta 68.05
_cell_angle_gamma 68.05
loop_
_symmetry_equiv_pos_as_xyz
'x,y,z'
loop_
_atom_site_label
_atom_site_type_symbol
_atom_site_fract_x
_atom_site_fract_y
_atom_site_fract_z
Nd1 Nd 0.153 0.350 0.343
Nd2 Nd 0.153 0.843 0.850
Nd3 Nd 0.236 0.238 0.738
Nd4 Nd 0.787 0.238 0.738
Nd5 Nd 0.213 0.762 0.262
Nd6 Nd 0.847 0.157 0.150
Nd7 Nd 0.764 0.762 0.262
Nd8 Nd 0.847 0.650 0.657
Dy1 Dy 0.279 0.971 0.471
Dy2 Dy 0.500 0.000 0.000
Dy3 Dy 0.500 0.500 0.500
Dy4 Dy 0.721 0.029 0.529
Th1 Th 0.000 0.500 0.000
Th2 Th 0.500 0.500 0.000

=====

Calculated volume, 34.70 34.82 34.13 33.88 32.96 34.59 A^3/atom (same order as the records).